The following is a PBE calculation of Tm2Ag3GeTe6 after structural relaxation, from the Alexandria database.

Calculated values
As for the space group: C2/m, No. 12. The raw formation energy comes out at -0.54 eV per atom. Its crystal system is monoclinic.

The structure in POSCAR format:
```
Tm2Ag3GeTe6
1.0
4.195 0.000 0.000
0.000 8.175 0.198
-2.098 -2.551 9.955
Ag Te Tm Ge
3 6 2 1
Direct
0.210 0.860 0.420
0.790 0.140 0.580
0.500 0.500 0.000
0.353 0.953 0.705
0.327 0.407 0.655
0.982 0.730 0.964
0.673 0.593 0.345
0.018 0.270 0.036
0.647 0.047 0.295
0.825 0.677 0.650
0.175 0.323 0.350
0.500 0.000 0.000
```

---

The following is a PBE calculation of CuNi2Pt8 after structural relaxation, from the Alexandria database.

Calculated values
As for the space group: C2/m, No. 12. The energy above the most stable polymorph in this dataset is 0 meV per atom. As for the formation energy: -0.076 eV per atom. Its crystal system is monoclinic.

The structure in POSCAR format:
```
CuNi2Pt8
1.0
3.899 0.000 0.000
0.000 6.145 0.314
-1.949 -2.240 6.602
Pt Ni Cu
8 2 1
Direct
0.597 0.454 0.195
0.860 0.807 0.720
0.319 0.084 0.638
0.140 0.193 0.280
0.046 0.729 0.093
0.681 0.916 0.362
0.403 0.546 0.805
0.954 0.271 0.907
0.226 0.636 0.452
0.774 0.364 0.548
0.500 0.000 0.000
```

---

The following is a PBE calculation of PmCoSi after structural relaxation, from the Alexandria database.

Calculated values
As for the space group: P-6m2, No. 187. The energy above the most stable polymorph in this dataset is 135 meV per atom. The raw formation energy comes out at -0.56 eV per atom. Its crystal system is hexagonal.

The structure in POSCAR format:
```
PmCoSi
1.0
-3.862 -0.843 1.387
0.686 -3.900 -0.459
0.855 1.780 3.462
Co Si Pm
1 1 1
Direct
0.167 0.667 0.333
0.167 0.000 0.000
0.667 0.333 0.667
```

---

The following is a PBE calculation of NiTe3Cl after structural relaxation, from the Alexandria database.

Calculated values
As for the space group: Pm-3m, No. 221. The energy above the most stable polymorph in this dataset is 488 meV per atom. The raw formation energy comes out at 0.26 eV per atom. Its crystal system is cubic.

The structure in POSCAR format:
```
NiTe3Cl
1.0
-3.331 3.752 0.502
-3.736 -3.366 0.370
0.610 -0.128 5.004
Cl Ni Te
1 1 3
Direct
0.500 0.500 0.500
0.000 0.000 0.000
0.000 0.000 0.500
0.000 0.500 0.000
0.500 0.000 0.000
```